{
  "formula": "Tl3CdPb12",
  "functional": "GGA-PBE",
  "state": "optimized geometry",
  "lattice": [[4.920, 0.000, 0.000], [0.000, 4.920, 0.000], [0.000, 0.000, 20.398]],
  "species": ["Pb", "Tl", "Pb", "Pb", "Pb", "Cd", "Pb", "Pb", "Tl", "Pb", "Pb", "Pb", "Pb", "Pb", "Pb", "Tl"],
  "frac_coords": [[0.000, 0.500, 0.880], [0.000, 0.000, 0.500], [0.500, 0.000, 0.120], [0.000, 0.500, 0.373], [0.500, 0.000, 0.373], [0.000, 0.000, 0.000], [0.500, 0.000, 0.880], [0.500, 0.000, 0.627], [0.000, 0.000, 0.247], [0.000, 0.500, 0.120], [0.500, 0.500, 0.500], [0.000, 0.500, 0.627], [0.500, 0.500, 0.753], [0.500, 0.500, 0.247], [0.500, 0.500, 0.000], [0.000, 0.000, 0.753]],
  "energy_ev_per_atom": -3.28,
  "magnetic_moment_mub_per_fu": 0.000,
  "formation_energy_mev_per_atom": 7,
  "dos_ef_per_ev_atom": 0.45
}

---

{
  "formula": "TlCd2Pb5",
  "functional": "GGA-PBE",
  "state": "optimized geometry",
  "lattice": [[-2.317, 7.695, 1.605], [-3.471, -2.503, 6.989], [9.030, -1.468, -0.846]],
  "species": ["Pb", "Tl", "Pb", "Pb", "Pb", "Pb", "Tl", "Cd", "Pb", "Pb", "Cd", "Pb", "Pb", "Cd", "Cd", "Pb"],
  "frac_coords": [[0.307, 0.807, 0.315], [0.750, 0.750, 0.500], [0.500, 0.500, 0.000], [0.000, 0.000, 0.000], [0.693, 0.193, 0.685], [0.807, 0.007, 0.315], [0.250, 0.250, 0.500], [0.858, 0.642, 0.000], [0.007, 0.507, 0.315], [0.493, 0.693, 0.685], [0.358, 0.858, 0.000], [0.993, 0.493, 0.685], [0.507, 0.307, 0.315], [0.142, 0.358, 0.000], [0.642, 0.142, 0.000], [0.193, 0.993, 0.685]],
  "energy_ev_per_atom": -2.79,
  "de_polymorph_mev_per_atom": 14.4,
  "magnetic_moment_mub_per_fu": 0.000,
  "formation_energy_mev_per_atom": 56,
  "dos_ef_per_ev_atom": 0.42
}

---

{
  "formula": "TlCd4Pb",
  "functional": "GGA-PBE",
  "state": "optimized geometry",
  "lattice": [[-2.025, -4.772, 3.143], [-1.978, -4.933, -2.917], [3.242, -5.121, 0.161]],
  "species": ["Pb", "Cd", "Cd", "Tl", "Cd", "Cd"],
  "frac_coords": [[0.250, 0.250, 0.250], [0.625, 0.625, 0.125], [0.625, 0.625, 0.625], [0.000, 0.000, 0.000], [0.625, 0.125, 0.625], [0.125, 0.625, 0.625]],
  "energy_ev_per_atom": -1.59,
  "magnetic_moment_mub_per_fu": 0.000,
  "formation_energy_mev_per_atom": 32,
  "dos_ef_per_ev_atom": 0.65
}

---

{
  "formula": "TlCd3Pb",
  "functional": "GGA-PBE",
  "state": "optimized geometry",
  "lattice": [[-3.412, -0.697, -2.520], [1.904, -3.502, -1.608], [-3.222, -4.301, 5.553]],
  "species": ["Cd", "Cd", "Pb", "Cd", "Tl"],
  "frac_coords": [[0.000, 0.500, 0.379], [0.500, 0.000, 0.379], [0.500, 0.500, 0.781], [0.000, 0.000, 0.658], [0.000, 0.000, 0.067]],
  "energy_ev_per_atom": -1.67,
  "de_polymorph_mev_per_atom": 55.0,
  "magnetic_moment_mub_per_fu": 0.000,
  "formation_energy_mev_per_atom": 95,
  "dos_ef_per_ev_atom": 0.44
}

---

{
  "formula": "TlCd2Pb3",
  "functional": "GGA-PBE",
  "state": "optimized geometry",
  "lattice": [[5.069, 0.000, -1.567], [-0.102, 7.489, -0.330], [0.101, 0.670, 9.309]],
  "species": ["Cd", "Cd", "Pb", "Tl", "Pb", "Pb", "Cd", "Pb", "Pb", "Pb", "Cd", "Tl"],
  "frac_coords": [[0.231, 0.638, 0.463], [0.539, 0.174, 0.077], [0.695, 0.957, 0.390], [0.135, 0.271, 0.270], [0.069, 0.835, 0.138], [0.931, 0.165, 0.862], [0.769, 0.362, 0.537], [0.608, 0.564, 0.216], [0.392, 0.436, 0.784], [0.305, 0.043, 0.610], [0.461, 0.826, 0.923], [0.865, 0.729, 0.730]],
  "energy_ev_per_atom": -2.50,
  "de_polymorph_mev_per_atom": 5.2,
  "magnetic_moment_mub_per_fu": 0.000,
  "formation_energy_mev_per_atom": 55,
  "dos_ef_per_ev_atom": 0.36
}

---

{
  "formula": "Tl2CdPb8",
  "functional": "GGA-PBE",
  "state": "optimized geometry",
  "lattice": [[4.720, 0.000, -1.257], [-0.517, 7.646, -1.943], [-0.032, 0.059, 9.370]],
  "species": ["Tl", "Pb", "Pb", "Cd", "Pb", "Pb", "Pb", "Pb", "Pb", "Pb", "Tl"],
  "frac_coords": [[0.228, 0.638, 0.455], [0.868, 0.825, 0.736], [0.589, 0.457, 0.177], [0.500, 0.000, 0.000], [0.132, 0.175, 0.264], [0.411, 0.543, 0.823], [0.043, 0.736, 0.086], [0.957, 0.264, 0.914], [0.321, 0.090, 0.642], [0.679, 0.910, 0.358], [0.772, 0.362, 0.545]],
  "energy_ev_per_atom": -3.20,
  "de_polymorph_mev_per_atom": 0.0,
  "magnetic_moment_mub_per_fu": 0.000,
  "formation_energy_mev_per_atom": 9,
  "dos_ef_per_ev_atom": 0.55
}

---

{
  "formula": "Tl2Cd2Pb",
  "functional": "GGA-PBE",
  "state": "optimized geometry",
  "lattice": [[-2.468, -1.938, 3.295], [1.781, -4.053, -1.050], [4.944, -1.869, 5.746]],
  "species": ["Tl", "Tl", "Pb", "Cd", "Cd"],
  "frac_coords": [[0.750, 0.250, 0.500], [0.250, 0.750, 0.500], [0.000, 0.000, 0.000], [0.403, 0.403, 0.195], [0.597, 0.597, 0.805]],
  "energy_ev_per_atom": -1.91,
  "de_polymorph_mev_per_atom": 85.3,
  "magnetic_moment_mub_per_fu": 0.000,
  "formation_energy_mev_per_atom": 147,
  "dos_ef_per_ev_atom": 0.52
}

---

{
  "formula": "TlCd2Pb",
  "functional": "GGA-PBE",
  "state": "optimized geometry",
  "lattice": [[11.576, 0.104, 0.061], [11.067, 3.395, 0.061], [11.067, 1.710, 2.933]],
  "species": ["Tl", "Cd", "Pb", "Cd"],
  "frac_coords": [[0.750, 0.750, 0.750], [0.003, 0.003, 0.003], [0.250, 0.250, 0.250], [0.497, 0.497, 0.497]],
  "energy_ev_per_atom": -1.93,
  "magnetic_moment_mub_per_fu": 0.000,
  "formation_energy_mev_per_atom": 48,
  "dos_ef_per_ev_atom": 0.38
}